A geometry-optimized Pa2AgSb structure, computed with PBE. Values from VASP.

Values from the calculation:
Calculated volume: 303.17 Å³/cell
Space group: R-3m (166)
Total magnetization: 0.18 μB/f.u.
Formation energy without anion corrections: 270 meV per atom
Polymorph energy (0 for the lowest one): 346.3 meV/atom

```
&SYSTEM
  ibrav = 0, nat = 12, ntyp = 3
/
ATOMIC_SPECIES
Pa 231.04 Pa.upf
Ag 107.87 Ag.upf
Sb 121.76 Sb.upf
CELL_PARAMETERS angstrom
3.1542 0.0000 0.0000
-1.5771 2.7316 0.0000
0.0000 0.0000 35.1879
ATOMIC_POSITIONS crystal
Pa 0.0000 0.0000 0.0891
Pa 0.0000 0.0000 0.9108
Pa 0.3333 0.6667 0.5775
Pa 0.3333 0.6667 0.7558
Pa 0.6667 0.3333 0.2442
Pa 0.6667 0.3333 0.4225
Ag 0.0000 0.0000 0.0000
Ag 0.3333 0.6667 0.6667
Ag 0.6667 0.3333 0.3333
Sb 0.0000 0.0000 0.5000
Sb 0.3333 0.6667 0.1667
Sb 0.6667 0.3333 0.8333
```

=====

A geometry-optimized ThPaAgSb structure, computed with PBE. Values from VASP.

Values from the calculation:
Calculated volume: 423.57 Å³/cell
Space group: F-43m (216)
Total magnetization: 1.69 μB/f.u.
Formation energy without anion corrections: -120 meV per atom

```
&SYSTEM
  ibrav = 0, nat = 16, ntyp = 4
/
ATOMIC_SPECIES
Th 232.04 Th.upf
Pa 231.04 Pa.upf
Ag 107.87 Ag.upf
Sb 121.76 Sb.upf
CELL_PARAMETERS angstrom
7.5100 0.0000 0.0000
0.0000 7.5100 0.0000
0.0000 0.0000 7.5100
ATOMIC_POSITIONS crystal
Th 0.0000 0.0000 0.0000
Th 0.0000 0.5000 0.5000
Th 0.5000 0.0000 0.5000
Th 0.5000 0.5000 0.0000
Pa 0.0000 0.0000 0.5000
Pa 0.0000 0.5000 0.0000
Pa 0.5000 0.0000 0.0000
Pa 0.5000 0.5000 0.5000
Ag 0.2500 0.2500 0.2500
Ag 0.2500 0.7500 0.7500
Ag 0.7500 0.2500 0.7500
Ag 0.7500 0.7500 0.2500
Sb 0.2500 0.2500 0.7500
Sb 0.2500 0.7500 0.2500
Sb 0.7500 0.2500 0.2500
Sb 0.7500 0.7500 0.7500
```

=====

A geometry-optimized ScPaAg structure, computed with PBE. Values from VASP.

Values from the calculation:
Calculated volume: 267.26 Å³/cell
Formation energy from the elements: -59 meV per atom
Space group: Cmcm (63)
Total magnetization: 0.00 μB/f.u.

```
&SYSTEM
  ibrav = 0, nat = 12, ntyp = 3
/
ATOMIC_SPECIES
Sc 44.96 Sc.upf
Pa 231.04 Pa.upf
Ag 107.87 Ag.upf
CELL_PARAMETERS angstrom
3.1494 0.0000 0.0000
0.0000 16.8260 0.0000
0.0000 0.0000 5.0435
ATOMIC_POSITIONS crystal
Sc 0.0000 0.0904 0.2500
Sc 0.0000 0.9096 0.7500
Sc 0.5000 0.4096 0.7500
Sc 0.5000 0.5904 0.2500
Pa 0.0000 0.2292 0.7500
Pa 0.0000 0.7708 0.2500
Pa 0.5000 0.2708 0.2500
Pa 0.5000 0.7292 0.7500
Ag 0.0000 0.4429 0.2500
Ag 0.0000 0.5571 0.7500
Ag 0.5000 0.0571 0.7500
Ag 0.5000 0.9429 0.2500
```

=====

A geometry-optimized ScPaAg2 structure, computed with PBE. Values from VASP.

Values from the calculation:
Calculated volume: 84.84 Å³/cell
Formation energy from the elements: 4 meV per atom
Space group: P4/mmm (123)
Total magnetization: 0.69 μB/f.u.

```
&SYSTEM
  ibrav = 0, nat = 4, ntyp = 3
/
ATOMIC_SPECIES
Sc 44.96 Sc.upf
Pa 231.04 Pa.upf
Ag 107.87 Ag.upf
CELL_PARAMETERS angstrom
3.1483 0.0000 0.0000
0.0000 3.1483 0.0000
0.0000 0.0000 8.5597
ATOMIC_POSITIONS crystal
Sc 0.0000 0.0000 0.0000
Pa 0.0000 0.0000 0.5000
Ag 0.5000 0.5000 0.2294
Ag 0.5000 0.5000 0.7706
```

=====

A geometry-optimized Sc2PaAg structure, computed with PBE. Values from VASP.

Values from the calculation:
Calculated volume: 268.23 Å³/cell
Formation energy from the elements: 168 meV per atom
Space group: R-3m (166)
Total magnetization: 0.00 μB/f.u.
Polymorph energy (0 for the lowest one): 91.2 meV/atom

```
&SYSTEM
  ibrav = 0, nat = 12, ntyp = 3
/
ATOMIC_SPECIES
Sc 44.96 Sc.upf
Pa 231.04 Pa.upf
Ag 107.87 Ag.upf
CELL_PARAMETERS angstrom
3.0843 0.0000 0.0000
-1.5422 2.6711 0.0000
0.0000 0.0000 32.5578
ATOMIC_POSITIONS crystal
Sc 0.0000 0.0000 0.0918
Sc 0.0000 0.0000 0.9082
Sc 0.3333 0.6667 0.5749
Sc 0.3333 0.6667 0.7585
Sc 0.6667 0.3333 0.2415
Sc 0.6667 0.3333 0.4251
Pa 0.0000 0.0000 0.0000
Pa 0.3333 0.6667 0.6667
Pa 0.6667 0.3333 0.3333
Ag 0.0000 0.0000 0.5000
Ag 0.3333 0.6667 0.1667
Ag 0.6667 0.3333 0.8333
```

=====

A geometry-optimized Sc5PaAg4 structure, computed with PBE. Values from VASP.

Values from the calculation:
Calculated volume: 210.53 Å³/cell
Formation energy from the elements: -189 meV per atom
Space group: P4/mmm (123)
Total magnetization: 0.00 μB/f.u.

```
&SYSTEM
  ibrav = 0, nat = 10, ntyp = 3
/
ATOMIC_SPECIES
Sc 44.96 Sc.upf
Pa 231.04 Pa.upf
Ag 107.87 Ag.upf
CELL_PARAMETERS angstrom
3.4057 0.0000 0.0000
0.0000 3.4057 0.0000
0.0000 0.0000 18.1502
ATOMIC_POSITIONS crystal
Sc 0.0000 0.0000 0.0000
Sc 0.0000 0.0000 0.1916
Sc 0.0000 0.0000 0.3835
Sc 0.0000 0.0000 0.6165
Sc 0.0000 0.0000 0.8084
Pa 0.5000 0.5000 0.5000
Ag 0.5000 0.5000 0.0962
Ag 0.5000 0.5000 0.2859
Ag 0.5000 0.5000 0.7141
Ag 0.5000 0.5000 0.9038
```

=====

A geometry-optimized Sc2PaAg structure, computed with PBE. Values from VASP.

Values from the calculation:
Calculated volume: 88.31 Å³/cell
Formation energy from the elements: 77 meV per atom
Space group: P4/mmm (123)
Total magnetization: 0.00 μB/f.u.
Polymorph energy (0 for the lowest one): 0.0 meV/atom

```
&SYSTEM
  ibrav = 0, nat = 4, ntyp = 3
/
ATOMIC_SPECIES
Sc 44.96 Sc.upf
Pa 231.04 Pa.upf
Ag 107.87 Ag.upf
CELL_PARAMETERS angstrom
5.1657 0.0000 0.0000
0.0000 5.1657 0.0000
0.0000 0.0000 3.3094
ATOMIC_POSITIONS crystal
Sc 0.0000 0.5000 0.0000
Sc 0.5000 0.0000 0.0000
Pa 0.0000 0.0000 0.5000
Ag 0.5000 0.5000 0.5000
```

=====

A geometry-optimized Sc2PaAg2Se6 structure, computed with PBE. Values from VASP.

Values from the calculation:
Calculated volume: 284.61 Å³/cell
Space group: C2/m (12)
Total magnetization: 0.82 μB/f.u.
Formation energy without anion corrections: -1149 meV per atom

```
&SYSTEM
  ibrav = 0, nat = 11, ntyp = 4
/
ATOMIC_SPECIES
Sc 44.96 Sc.upf
Pa 231.04 Pa.upf
Ag 107.87 Ag.upf
Se 78.96 Se.upf
CELL_PARAMETERS angstrom
3.4755 -6.0421 0.0000
3.4755 6.0421 0.0000
-0.9719 0.0000 6.7766
ATOMIC_POSITIONS crystal
Sc 0.1637 0.8363 0.0000
Sc 0.8363 0.1637 0.0000
Pa 0.5000 0.5000 0.0000
Ag 0.3827 0.6173 0.5000
Ag 0.6173 0.3827 0.5000
Se 0.1215 0.4715 0.7782
Se 0.1891 0.1891 0.2266
Se 0.4715 0.1215 0.7782
Se 0.5285 0.8785 0.2218
Se 0.8109 0.8109 0.7734
Se 0.8785 0.5285 0.2218
```